Entry from Alexandria via LeMat-Bulk: an optimized crystal structure of Be5Co4Rh (PBE).

The structure in POSCAR format:
```
Be5Co4Rh
1.0
2.650 0.000 0.000
0.000 2.650 0.000
0.000 0.000 13.078
Be Co Rh
5 4 1
direct
0.500 0.500 0.113
0.500 0.500 0.306
0.500 0.500 0.500
0.500 0.500 0.694
0.500 0.500 0.887
0.000 0.000 0.210
0.000 0.000 0.403
0.000 0.000 0.597
0.000 0.000 0.790
0.000 0.000 0.000
```

Results
M_tot   0.1885 μB per atom
Formation enthalpy at 0 K   -0.35 eV/atom
Electronic total energy   -5.79 eV per atom

Entry from Alexandria via LeMat-Bulk: an optimized crystal structure of Be4CoRh (PBE).

The structure in POSCAR format:
```
Be4CoRh
1.0
2.502 0.000 0.000
0.000 6.532 -0.011
0.000 0.006 3.738
Be Co Rh
4 1 1
direct
0.500 0.714 0.000
0.500 0.286 0.000
0.000 0.187 0.500
0.000 0.813 0.500
0.000 0.000 0.000
0.500 0.500 0.500
```

Results
M_tot   0.0883 μB per atom
Formation enthalpy at 0 K   -0.03 eV/atom
Electronic total energy   -4.92 eV per atom
Excess energy over the best structure of this formula in the dataset   0.354 eV/atom

Entry from Alexandria via LeMat-Bulk: an optimized crystal structure of BeCo2Rh (PBE).

The structure in POSCAR format:
```
BeCo2Rh
1.0
-1.528 7.704 0.520
-3.106 7.085 -1.451
-3.902 6.762 1.002
Co Rh Be
2 1 1
direct
0.004 0.004 0.004
0.254 0.254 0.254
0.494 0.494 0.494
0.748 0.748 0.748
```

Results
M_tot   0.8473 μB per atom
Formation enthalpy at 0 K   -0.02 eV/atom
Electronic total energy   -6.35 eV per atom

Entry from Alexandria via LeMat-Bulk: an optimized crystal structure of BeCo2Rh (PBE).

The structure in POSCAR format:
```
BeCo2Rh
1.0
7.922 -0.006 -0.003
7.501 2.550 -0.003
7.501 1.238 2.230
Co Rh Be
2 1 1
direct
0.008 0.008 0.008
0.492 0.492 0.492
0.250 0.250 0.250
0.750 0.750 0.750
```

Results
M_tot   0.8679 μB per atom
Formation enthalpy at 0 K   0.07 eV/atom
Electronic total energy   -6.25 eV per atom

Entry from Alexandria via LeMat-Bulk: an optimized crystal structure of BeCo2Rh (PBE).

The structure in POSCAR format:
```
BeCo2Rh
1.0
-0.240 3.448 -1.153
-2.375 -0.479 -0.938
-3.071 1.010 3.662
Co Rh Be
2 1 1
direct
0.000 0.807 0.012
0.500 0.205 0.216
0.000 0.541 0.543
0.500 0.947 0.729
```

Results
M_tot   0.8278 μB per atom
Formation enthalpy at 0 K   -0.08 eV/atom
Electronic total energy   -6.41 eV per atom

Entry from Alexandria via LeMat-Bulk: an optimized crystal structure of BeCoRh2 (PBE).

The structure in POSCAR format:
```
BeCoRh2
1.0
2.683 0.000 0.000
0.000 3.585 0.000
0.000 0.000 5.062
Co Rh Be
1 2 1
direct
0.500 0.500 0.750
0.000 0.000 0.973
0.500 0.500 0.281
0.000 0.000 0.496
```

Results
M_tot   0.4872 μB per atom
Formation enthalpy at 0 K   -0.07 eV/atom
Electronic total energy   -6.46 eV per atom

Q: What is the electronic total energy in the second record?
A: -4.92 eV per atom

Q: electronic total energy of number 1 (Be5Co4Rh)?
A: -5.79 eV per atom

Q: What is the electronic total energy in the first record?
A: -5.79 eV per atom

Q: Number 1 is which compound?
A: Be5Co4Rh